Record 1
# PmDy6Th2 (GGA-PBE, relaxed)
# V: 31.85 Å³/atom
# Total magnetization: 0.00 μB/f.u.
# Calculated formation energy: 0.0556 eV per atom
# Mass density: 9.2 g/cm3
# Calculated total energy: -5.189 eV/atom
data_PmDy6Th2
_cell_length_a 16.903
_cell_length_b 9.743
_cell_length_c 3.482
_cell_angle_alpha 90.00
_cell_angle_beta 90.07
_cell_angle_gamma 90.00
_space_group_name_H-M_alt 'C 1 2/m 1'
_space_group_IT_number 12
loop_
_space_group_symop_operation_xyz
'x,y,z'
'-x,-y,-z'
'-x,y,-z'
'x,-y,z'
'x+1/2,y+1/2,z'
'-x+1/2,-y+1/2,-z'
'-x+1/2,y+1/2,-z'
'x+1/2,-y+1/2,z'
loop_
_atom_site_label
_atom_site_type_symbol
_atom_site_fract_x
_atom_site_fract_y
_atom_site_fract_z
Pm1 Pm 0.000 0.000 0.000
Dy1 Dy 0.000 0.335 0.500
Dy2 Dy 0.168 0.168 0.499
Th1 Th 0.167 0.500 0.000

Record 2
# Pm2Dy7Th3 (GGA-PBE, relaxed)
# V: 34.05 Å³/atom
# Total magnetization: 0.00 μB/f.u.
# Calculated formation energy: 0.3556 eV per atom
# Mass density: 8.6 g/cm3
# Calculated total energy: -4.976 eV/atom
data_Pm2Dy7Th3
_cell_length_a 6.055
_cell_length_b 5.512
_cell_length_c 12.246
_cell_angle_alpha 90.00
_cell_angle_beta 91.36
_cell_angle_gamma 90.00
_space_group_name_H-M_alt 'P 1 2/m 1'
_space_group_IT_number 10
loop_
_space_group_symop_operation_xyz
'x,y,z'
'-x,-y,-z'
'-x,y,-z'
'x,-y,z'
loop_
_atom_site_label
_atom_site_type_symbol
_atom_site_fract_x
_atom_site_fract_y
_atom_site_fract_z
Pm1 Pm 0.099 0.000 0.278
Dy1 Dy 0.059 0.500 0.819
Dy2 Dy 0.263 0.000 0.547
Dy3 Dy 0.427 0.000 0.829
Dy4 Dy 0.500 0.500 0.000
Th1 Th 0.000 0.000 0.000
Th2 Th 0.430 0.500 0.359

Record 3
# Pm5Dy2Th4 (GGA-PBE, relaxed)
# V: 33.69 Å³/atom
# Total magnetization: 0.00 μB/f.u.
# Calculated formation energy: 0.1841 eV per atom
# Mass density: 8.9 g/cm3
# Calculated total energy: -5.510 eV/atom
data_Pm5Dy2Th4
_cell_length_a 6.734
_cell_length_b 6.937
_cell_length_c 9.536
_cell_angle_alpha 69.27
_cell_angle_beta 76.33
_cell_angle_gamma 63.30
_space_group_name_H-M_alt 'P -1'
_space_group_IT_number 2
loop_
_space_group_symop_operation_xyz
'x,y,z'
'-x,-y,-z'
loop_
_atom_site_label
_atom_site_type_symbol
_atom_site_fract_x
_atom_site_fract_y
_atom_site_fract_z
Pm1 Pm 0.000 0.000 0.000
Pm2 Pm 0.110 0.032 0.626
Pm3 Pm 0.419 0.428 0.358
Dy1 Dy 0.433 0.956 0.257
Th1 Th 0.063 0.515 0.687
Th2 Th 0.281 0.437 0.980

Record 4
# PmDyTh (GGA-PBE, relaxed)
# V: 32.78 Å³/atom
# Total magnetization: 0.00 μB/f.u.
# Calculated formation energy: 0.0553 eV per atom
# Mass density: 9.1 g/cm3
# Calculated total energy: -5.536 eV/atom
data_PmDyTh
_cell_length_a 3.5902
_cell_length_b 3.5902
_cell_length_c 17.6175
_cell_angle_alpha 90.00
_cell_angle_beta 90.00
_cell_angle_gamma 120.00
_space_group_name_H-M_alt 'P 63 m c'
_space_group_IT_number 186
_space_group_name_Hall 'P 6c -2c'
loop_
_atom_site_label
_atom_site_type_symbol
_atom_site_fract_x
_atom_site_fract_y
_atom_site_fract_z
Pm1 Pm 0.3333 0.6667 0.0000
Dy1 Dy 0.3333 0.6667 0.6672
Th1 Th 0.0000 0.0000 0.3306

Record 5
# PmDy8Th6 (GGA-PBE, relaxed)
# V: 32.18 Å³/atom
# Total magnetization: 0.00 μB/f.u.
# Calculated formation energy: 0.1599 eV per atom
# Mass density: 9.8 g/cm3
# Calculated total energy: -5.579 eV/atom
data_PmDy8Th6
_cell_length_a 8.8554
_cell_length_b 8.8554
_cell_length_c 21.3244
_cell_angle_alpha 90.00
_cell_angle_beta 90.00
_cell_angle_gamma 120.00
_space_group_name_H-M_alt 'R -3'
_space_group_IT_number 148
_space_group_name_Hall '-R 3'
loop_
_atom_site_label
_atom_site_type_symbol
_atom_site_fract_x
_atom_site_fract_y
_atom_site_fract_z
Pm1 Pm 0.0000 0.0000 0.0000
Dy1 Dy 0.0000 0.0000 0.4199
Dy2 Dy 0.0615 0.8067 0.1339
Th1 Th 0.0248 0.2434 0.7086

Record 6
# Pm4Dy3Th (GGA-PBE, relaxed)
# V: 33.41 Å³/atom
# Total magnetization: 0.00 μB/f.u.
# Calculated formation energy: 0.0436 eV per atom
# Mass density: 8.1 g/cm3
# Calculated total energy: -4.985 eV/atom
data_Pm4Dy3Th
_cell_length_a 11.599
_cell_length_b 7.319
_cell_length_c 6.297
_cell_angle_alpha 90.00
_cell_angle_beta 90.00
_cell_angle_gamma 90.00
_space_group_name_H-M_alt 'P m n 21'
_space_group_IT_number 31
loop_
_space_group_symop_operation_xyz
'x,y,z'
'-x+1/2,-y,z+1/2'
'-x,y,z'
'x+1/2,-y,z+1/2'
loop_
_atom_site_label
_atom_site_type_symbol
_atom_site_fract_x
_atom_site_fract_y
_atom_site_fract_z
Pm1 Pm 0.000 0.132 0.000
Pm2 Pm 0.000 0.865 0.504
Pm3 Pm 0.249 0.871 0.847
Dy1 Dy 0.000 0.381 0.506
Dy2 Dy 0.250 0.382 0.832
Th1 Th 0.000 0.620 0.005